! TaCuTc2 PBE optimized geometry; values from VASP
&SYSTEM
  ibrav = 0, nat = 4, ntyp = 3
/
ATOMIC_SPECIES
Ta 180.95 Ta.upf
Cu 63.55 Cu.upf
Tc 98.00 Tc.upf
CELL_PARAMETERS angstrom
2.869 0.000 0.000
0.000 3.829 0.000
0.000 0.000 5.445
ATOMIC_POSITIONS crystal
Ta 0.000 0.000 0.000
Cu 0.500 0.500 0.751
Tc 0.000 0.000 0.492
Tc 0.500 0.500 0.269
! Uncorrected energy: -9.132 eV per atom
! Crystal system: orthorhombic
! Energy above the most stable polymorph in this dataset: 60 meV per atom
! Formation energy from the elements: 0.04 eV/atom

! TaCu2Tc PBE optimized geometry; values from VASP
&SYSTEM
  ibrav = 0, nat = 4, ntyp = 3
/
ATOMIC_SPECIES
Ta 180.95 Ta.upf
Cu 63.55 Cu.upf
Tc 98.00 Tc.upf
CELL_PARAMETERS angstrom
1.363 0.787 9.033
-1.363 0.787 9.033
0.000 -1.574 9.033
ATOMIC_POSITIONS crystal
Ta 0.000 0.000 0.000
Cu 0.247 0.247 0.247
Cu 0.753 0.753 0.753
Tc 0.500 0.500 0.500
! Uncorrected energy: -7.291 eV per atom
! Crystal system: trigonal
! Energy above the most stable polymorph in this dataset: 307 meV per atom
! Formation energy from the elements: 0.31 eV/atom

! TaCu2Tc PBE optimized geometry; values from VASP
&SYSTEM
  ibrav = 0, nat = 4, ntyp = 3
/
ATOMIC_SPECIES
Ta 180.95 Ta.upf
Cu 63.55 Cu.upf
Tc 98.00 Tc.upf
CELL_PARAMETERS angstrom
3.681 0.000 0.000
0.000 3.681 0.000
0.000 0.000 4.175
ATOMIC_POSITIONS crystal
Ta 0.000 0.000 0.000
Cu 0.000 0.500 0.500
Cu 0.500 0.000 0.500
Tc 0.500 0.500 0.000
! Uncorrected energy: -7.598 eV per atom
! Crystal system: tetragonal
! Energy above the most stable polymorph in this dataset: 0 meV per atom
! Formation energy from the elements: 0.01 eV/atom

! TaCuTc2 PBE optimized geometry; values from VASP
&SYSTEM
  ibrav = 0, nat = 4, ntyp = 3
/
ATOMIC_SPECIES
Ta 180.95 Ta.upf
Cu 63.55 Cu.upf
Tc 98.00 Tc.upf
CELL_PARAMETERS angstrom
2.667 0.000 0.000
0.000 4.371 0.000
-0.863 0.000 5.156
ATOMIC_POSITIONS crystal
Ta 0.000 0.000 0.000
Cu 0.500 0.000 0.500
Tc 0.230 0.500 0.738
Tc 0.770 0.500 0.262
! Uncorrected energy: -9.082 eV per atom
! Crystal system: monoclinic
! Energy above the most stable polymorph in this dataset: 110 meV per atom
! Formation energy from the elements: 0.09 eV/atom

! TaCuTc2 PBE optimized geometry; values from VASP
&SYSTEM
  ibrav = 0, nat = 8, ntyp = 3
/
ATOMIC_SPECIES
Ta 180.95 Ta.upf
Cu 63.55 Cu.upf
Tc 98.00 Tc.upf
CELL_PARAMETERS angstrom
-3.495 3.495 2.626
3.495 -3.495 2.626
3.495 3.495 -2.626
ATOMIC_POSITIONS crystal
Ta 0.000 0.000 0.000
Ta 0.750 0.250 0.500
Cu 0.250 0.750 0.500
Cu 0.500 0.500 0.000
Tc 0.134 0.625 0.009
Tc 0.375 0.384 0.509
Tc 0.616 0.125 0.991
Tc 0.875 0.866 0.491
! Uncorrected energy: -8.500 eV per atom
! Crystal system: tetragonal
! Energy above the most stable polymorph in this dataset: 692 meV per atom
! Formation energy from the elements: 0.67 eV/atom

! TaCuTc2 PBE optimized geometry; values from VASP
&SYSTEM
  ibrav = 0, nat = 4, ntyp = 3
/
ATOMIC_SPECIES
Ta 180.95 Ta.upf
Cu 63.55 Cu.upf
Tc 98.00 Tc.upf
CELL_PARAMETERS angstrom
-1.630 2.125 4.324
1.630 -2.125 4.324
1.630 2.125 -4.324
ATOMIC_POSITIONS crystal
Ta 0.000 0.000 0.000
Cu 0.742 0.242 0.500
Tc 0.242 0.742 0.500
Tc 0.481 0.481 0.000
! Uncorrected energy: -9.133 eV per atom
! Crystal system: orthorhombic
! Energy above the most stable polymorph in this dataset: 59 meV per atom
! Formation energy from the elements: 0.04 eV/atom

! Ta2CuTc PBE optimized geometry; values from VASP
&SYSTEM
  ibrav = 0, nat = 4, ntyp = 3
/
ATOMIC_SPECIES
Ta 180.95 Ta.upf
Cu 63.55 Cu.upf
Tc 98.00 Tc.upf
CELL_PARAMETERS angstrom
1.399 0.808 9.546
-1.399 0.808 9.546
0.000 -1.615 9.546
ATOMIC_POSITIONS crystal
Ta 0.000 0.000 0.000
Ta 0.241 0.241 0.241
Cu 0.493 0.493 0.493
Tc 0.751 0.751 0.751
! Uncorrected energy: -9.257 eV per atom
! Crystal system: trigonal
! Formation energy from the elements: 0.28 eV/atom

! Ta2CuTc PBE optimized geometry; values from VASP
&SYSTEM
  ibrav = 0, nat = 4, ntyp = 3
/
ATOMIC_SPECIES
Ta 180.95 Ta.upf
Cu 63.55 Cu.upf
Tc 98.00 Tc.upf
CELL_PARAMETERS angstrom
1.544 0.891 8.055
-1.544 0.891 8.055
0.000 -1.783 8.055
ATOMIC_POSITIONS crystal
Ta 0.249 0.249 0.249
Ta 0.751 0.751 0.751
Cu 0.000 0.000 0.000
Tc 0.500 0.500 0.500
! Uncorrected energy: -9.332 eV per atom
! Crystal system: trigonal
! Formation energy from the elements: 0.21 eV/atom